[1]
First-principles (PBE) data for a relaxed DyHo2Tm7 crystal, as listed in the Alexandria database.

```
DyHo2Tm7
1.0
6.044 0.000 0.000
2.008 6.701 0.000
2.022 1.204 7.440
Dy Ho Tm
1 2 7
Direct
0.000 0.000 0.000 Dy
0.200 0.300 0.600 Ho
0.800 0.700 0.400 Ho
0.000 0.500 0.000 Tm
0.200 0.800 0.600 Tm
0.400 0.100 0.200 Tm
0.400 0.600 0.200 Tm
0.600 0.400 0.800 Tm
0.600 0.900 0.800 Tm
0.800 0.200 0.400 Tm
```

Energy above the most stable polymorph in this dataset: 0.0 kJ/mol of atoms
ΔE_f: 0.6 kcal/mol of atoms
Space-group type: P-1
Energy: -4.48 eV per atom

***

[2]
First-principles (PBE) data for a relaxed Dy12HoTm6 crystal, as listed in the Alexandria database.

```
Dy12HoTm6
1.0
7.224 4.171 3.422
-7.224 4.171 3.422
0.000 -8.342 3.422
Dy Ho Tm
12 1 6
Direct
0.138 0.279 0.828 Dy
0.172 0.862 0.721 Dy
0.191 0.482 0.579 Dy
0.279 0.828 0.138 Dy
0.421 0.809 0.518 Dy
0.482 0.579 0.191 Dy
0.518 0.421 0.809 Dy
0.579 0.191 0.482 Dy
0.721 0.172 0.862 Dy
0.809 0.518 0.421 Dy
0.828 0.138 0.279 Dy
0.862 0.721 0.172 Dy
0.000 0.000 0.000 Ho
0.076 0.456 0.187 Tm
0.187 0.076 0.456 Tm
0.456 0.187 0.076 Tm
0.544 0.813 0.924 Tm
0.813 0.924 0.544 Tm
0.924 0.544 0.813 Tm
```

Energy above the most stable polymorph in this dataset: 9.2 kJ/mol of atoms
ΔE_f: 5.8 kcal/mol of atoms
Space-group type: R-3
Energy: -4.31 eV per atom